[1]
DFT (SCAN) results for a PBEsol-optimized structure of LiScMn.

Space-group type: I4mm
DFT formation energy in eV/atom: 0.069

Cell: 6.023 6.023 6.023 Å, 150.76 150.76 41.82°
Positions (direct):
Li 0.000 0.000 0.000
Sc 0.294 0.294 0.000
Mn 0.646 0.646 0.000

***

[2]
DFT (SCAN) results for a PBEsol-optimized structure of LiSc3Mn.

Space-group type: Pm-3m
DFT formation energy in eV/atom: 0.650

Cell: 4.817 4.817 4.817 Å, 90.00 90.00 90.00°
Positions (direct):
Li 0.000 0.000 0.000
Sc 0.000 0.000 0.500
Sc 0.000 0.500 0.000
Sc 0.500 0.000 0.000
Mn 0.500 0.500 0.500

***

[3]
DFT (SCAN) results for a PBEsol-optimized structure of LiScMn.

Space-group type: F-43m
DFT formation energy in eV/atom: 0.569

Cell: 4.402 4.402 4.402 Å, 60.00 60.00 60.00°
Positions (direct):
Li 0.000 0.000 0.000
Sc 0.500 0.500 0.500
Mn 0.750 0.750 0.750

***

[4]
DFT (SCAN) results for a PBEsol-optimized structure of LiMn2Se.

Space-group type: F-43m
Energy relative to the elements, uncorrected in meV/atom: -53

Cell: 4.059 4.059 4.059 Å, 60.00 60.00 60.00°
Positions (direct):
Li 0.000 0.000 0.000
Mn 0.250 0.250 0.250
Mn 0.500 0.500 0.500
Se 0.750 0.750 0.750

***

[5]
DFT (SCAN) results for a PBEsol-optimized structure of LiMnSe.

Space-group type: F-43m
Energy relative to the elements, uncorrected in meV/atom: -451

Cell: 4.150 4.150 4.150 Å, 60.00 60.00 60.00°
Positions (direct):
Li 0.000 0.000 0.000
Mn 0.750 0.750 0.750
Se 0.500 0.500 0.500

***

[6]
DFT (SCAN) results for a PBEsol-optimized structure of SrLiMn2Se.

Space-group type: P4/mmm
Energy relative to the elements, uncorrected in meV/atom: -55

Cell: 4.641 4.641 4.758 Å, 90.00 90.00 90.00°
Positions (direct):
Sr 0.000 0.000 0.000
Li 0.500 0.500 0.000
Mn 0.000 0.500 0.500
Mn 0.500 0.000 0.500
Se 0.500 0.500 0.500

***

[7]
DFT (SCAN) results for a PBEsol-optimized structure of LiMn4Si.

Space-group type: F-43m
Energy relative to the elements, uncorrected in meV/atom: 284

Cell: 4.562 4.562 4.562 Å, 60.00 60.00 60.00°
Positions (direct):
Li 0.000 0.000 0.000
Mn 0.125 0.625 0.625
Mn 0.625 0.125 0.625
Mn 0.625 0.625 0.125
Mn 0.625 0.625 0.625
Si 0.250 0.250 0.250

***

[8]
DFT (SCAN) results for a PBEsol-optimized structure of Li2MnSi.

Space-group type: C2/m
Energy relative to the elements, uncorrected in meV/atom: -32

Cell: 5.106 5.106 2.535 Å, 102.68 102.68 125.45°
Positions (direct):
Li 0.000 0.500 0.000
Li 0.500 0.000 0.000
Mn 0.000 0.000 0.500
Si 0.500 0.500 0.500

***

[9]
DFT (SCAN) results for a PBEsol-optimized structure of Li4MnSi.

Space-group type: F-43m
Energy relative to the elements, uncorrected in meV/atom: 116

Cell: 4.795 4.795 4.795 Å, 60.00 60.00 60.00°
Positions (direct):
Li 0.125 0.125 0.125
Li 0.125 0.125 0.626
Li 0.125 0.626 0.125
Li 0.626 0.125 0.125
Mn 0.500 0.500 0.500
Si 0.750 0.750 0.750

***

[10]
DFT (SCAN) results for a PBEsol-optimized structure of Li2MnSi.

Space-group type: P4/mmm
Energy relative to the elements, uncorrected in meV/atom: 258

Cell: 2.389 2.389 8.508 Å, 90.00 90.00 90.00°
Positions (direct):
Li 0.000 0.000 0.248
Li 0.000 0.000 0.752
Mn 0.500 0.500 0.500
Si 0.500 0.500 0.000

***

[11]
DFT (SCAN) results for a PBEsol-optimized structure of Li3MnSi.

Space-group type: Pm-3m
Energy relative to the elements, uncorrected in meV/atom: 833

Cell: 4.584 4.584 4.584 Å, 90.00 90.00 90.00°
Positions (direct):
Li 0.000 0.000 0.500
Li 0.000 0.500 0.000
Li 0.500 0.000 0.000
Mn 0.000 0.000 0.000
Si 0.500 0.500 0.500

***

[12]
DFT (SCAN) results for a PBEsol-optimized structure of Sr4LiMn.

Space-group type: F-43m
DFT formation energy in eV/atom: 0.600

Cell: 7.260 7.260 7.260 Å, 60.00 60.00 60.00°
Positions (direct):
Sr 0.125 0.125 0.125
Sr 0.125 0.125 0.626
Sr 0.125 0.626 0.125
Sr 0.626 0.125 0.125
Li 0.500 0.500 0.500
Mn 0.750 0.750 0.750

***

[13]
DFT (SCAN) results for a PBEsol-optimized structure of Li2TaMn.

Space-group type: P4/mmm
DFT formation energy in eV/atom: 0.380

Cell: 3.426 3.426 4.746 Å, 90.00 90.00 90.00°
Positions (direct):
Li 0.000 0.500 0.000
Li 0.500 0.000 0.000
Ta 0.000 0.000 0.500
Mn 0.500 0.500 0.500

***

[14]
DFT (SCAN) results for a PBEsol-optimized structure of LiTa2Mn.

Space-group type: P4mm
DFT formation energy in eV/atom: 0.361

Cell: 3.144 3.144 5.775 Å, 90.00 90.00 90.00°
Positions (direct):
Li 0.000 0.000 0.000
Ta 0.000 0.000 0.447
Ta 0.500 0.500 0.750
Mn 0.500 0.500 0.211

***

[15]
DFT (SCAN) results for a PBEsol-optimized structure of Li2TaMn.

Space-group type: P4/mmm
DFT formation energy in eV/atom: 0.681

Cell: 2.493 2.493 9.211 Å, 90.00 90.00 90.00°
Positions (direct):
Li 0.000 0.000 0.228
Li 0.000 0.000 0.772
Ta 0.500 0.500 0.500
Mn 0.500 0.500 0.000

***

[16]
DFT (SCAN) results for a PBEsol-optimized structure of LiTa3Mn.

Space-group type: Pm-3m
DFT formation energy in eV/atom: 1.157

Cell: 4.330 4.330 4.330 Å, 90.00 90.00 90.00°
Positions (direct):
Li 0.000 0.000 0.000
Ta 0.000 0.000 0.500
Ta 0.000 0.500 0.000
Ta 0.500 0.000 0.000
Mn 0.500 0.500 0.500

***

[17]
DFT (SCAN) results for a PBEsol-optimized structure of Li2TaMn.

Space-group type: Cmmm
DFT formation energy in eV/atom: 0.274

Cell: 2.649 2.649 9.757 Å, 90.00 90.00 112.73°
Positions (direct):
Li 0.000 0.000 0.238
Li 0.000 0.000 0.762
Ta 0.500 0.500 0.500
Mn 0.500 0.500 0.000

***

[18]
DFT (SCAN) results for a PBEsol-optimized structure of LiTa2Mn.

Space-group type: I-4m2
DFT formation energy in eV/atom: 0.415

Cell: 5.004 5.004 5.004 Å, 137.12 137.12 62.26°
Positions (direct):
Li 0.000 0.000 0.000
Ta 0.250 0.750 0.500
Ta 0.500 0.500 0.000
Mn 0.750 0.250 0.500

***

[19]
DFT (SCAN) results for a PBEsol-optimized structure of Li2TaMn.

Space-group type: Imm2
DFT formation energy in eV/atom: 0.462

Cell: 4.836 4.836 4.836 Å, 143.66 121.95 70.45°
Positions (direct):
Li 0.000 0.000 0.000
Li 0.766 0.266 0.500
Ta 0.481 0.481 0.000
Mn 0.250 0.750 0.500

***

[20]
DFT (SCAN) results for a PBEsol-optimized structure of LiMn2Tc.

Space-group type: Pmmm
DFT formation energy in eV/atom: 0.447

Cell: 2.454 3.929 4.744 Å, 90.00 90.00 90.00°
Positions (direct):
Li 0.000 0.000 0.000
Mn 0.500 0.500 0.218
Mn 0.500 0.500 0.782
Tc 0.000 0.000 0.500

***

[21]
DFT (SCAN) results for a PBEsol-optimized structure of LiMnTc2.

Space-group type: R-3m
DFT formation energy in eV/atom: 0.232

Cell: 8.986 8.986 8.986 Å, 16.82 16.82 16.82°
Positions (direct):
Li 0.000 0.000 0.000
Mn 0.500 0.500 0.500
Tc 0.243 0.243 0.243
Tc 0.757 0.757 0.757

***

[22]
DFT (SCAN) results for a PBEsol-optimized structure of LiMnTc2.

Space-group type: Fm-3m
DFT formation energy in eV/atom: 0.269

Cell: 4.084 4.084 4.084 Å, 60.00 60.00 60.00°
Positions (direct):
Li 0.000 0.000 0.000
Mn 0.500 0.500 0.500
Tc 0.250 0.250 0.250
Tc 0.750 0.750 0.750

***

[23]
DFT (SCAN) results for a PBEsol-optimized structure of LiMn2Tc.

Space-group type: P4/mmm
DFT formation energy in eV/atom: 0.229

Cell: 3.949 3.949 3.000 Å, 90.00 90.00 90.00°
Positions (direct):
Li 0.000 0.000 0.000
Mn 0.000 0.500 0.500
Mn 0.500 0.000 0.500
Tc 0.500 0.500 0.000

***

[24]
DFT (SCAN) results for a PBEsol-optimized structure of LiMn2Tc.

Space-group type: Immm
DFT formation energy in eV/atom: 0.357

Cell: 4.651 4.651 4.651 Å, 144.18 128.99 63.90°
Positions (direct):
Li 0.000 0.000 0.000
Mn 0.259 0.759 0.500
Mn 0.741 0.241 0.500
Tc 0.500 0.500 0.000

***

[25]
DFT (SCAN) results for a PBEsol-optimized structure of LiMnTc2.

Space-group type: Cm
DFT formation energy in eV/atom: 0.158

Cell: 4.533 4.533 4.808 Å, 93.65 93.65 31.98°
Positions (direct):
Li 0.000 0.000 0.000
Mn 0.247 0.247 0.773
Tc 0.513 0.513 0.503
Tc 0.752 0.752 0.259

***

[26]
DFT (SCAN) results for a PBEsol-optimized structure of LiMnTl4.

Space-group type: F-43m
DFT formation energy in eV/atom: 0.289

Cell: 6.164 6.164 6.164 Å, 60.00 60.00 60.00°
Positions (direct):
Li 0.000 0.000 0.000
Mn 0.750 0.750 0.750
Tl 0.375 0.375 0.375
Tl 0.375 0.375 0.874
Tl 0.375 0.874 0.375
Tl 0.874 0.375 0.375

***

[27]
DFT (SCAN) results for a PBEsol-optimized structure of LiMn2Tl.

Space-group type: I4/mmm
DFT formation energy in eV/atom: 0.023

Cell: 4.908 4.908 4.908 Å, 133.23 133.23 68.30°
Positions (direct):
Li 0.000 0.000 0.000
Mn 0.250 0.750 0.500
Mn 0.750 0.250 0.500
Tl 0.500 0.500 0.000

***

[28]
DFT (SCAN) results for a PBEsol-optimized structure of LiMnTl2.

Space-group type: Imm2
DFT formation energy in eV/atom: -0.003

Cell: 5.976 5.976 5.976 Å, 147.61 134.71 56.78°
Positions (direct):
Li 0.000 0.000 0.000
Mn 0.231 0.731 0.500
Tl 0.458 0.458 0.000
Tl 0.723 0.223 0.500

***

[29]
DFT (SCAN) results for a PBEsol-optimized structure of Li2MnTl.

Space-group type: P4mm
DFT formation energy in eV/atom: -0.063

Cell: 3.351 3.351 6.330 Å, 90.00 90.00 90.00°
Positions (direct):
Li 0.000 0.000 0.000
Li 0.500 0.500 0.250
Mn 0.000 0.000 0.486
Tl 0.500 0.500 0.743

***

[30]
DFT (SCAN) results for a PBEsol-optimized structure of LiMn4Tl.

Space-group type: F-43m
DFT formation energy in eV/atom: 0.599

Cell: 4.755 4.755 4.755 Å, 60.00 60.00 60.00°
Positions (direct):
Li 0.000 0.000 0.000
Mn 0.374 0.374 0.374
Mn 0.374 0.374 0.877
Mn 0.374 0.877 0.374
Mn 0.877 0.374 0.374
Tl 0.750 0.750 0.750

***

| no. | energy (eV per atom) | ρ (g/cm³) |
| --- | --- | --- |
| 1 | -11.559 | 3.4 |
| 2 | -12.021 | 2.9 |
| 3 | -11.059 | 2.9 |
| 4 | -14.798 | 6.9 |
| 5 | -14.025 | 4.6 |
| 6 | -16.306 | 4.6 |
| 7 | -13.954 | 6.3 |
| 8 | -8.295 | 3.4 |
| 9 | -6.189 | 2.4 |
| 10 | -8.005 | 3.3 |
| 11 | -6.255 | 1.8 |
| 12 | -17.691 | 2.5 |
| 13 | -22.025 | 7.4 |
| 14 | -38.091 | 12.3 |
| 15 | -21.724 | 7.2 |
| 16 | -42.922 | 12.4 |
| 17 | -22.131 | 6.6 |
| 18 | -38.038 | 12.3 |
| 19 | -21.942 | 7.4 |
| 20 | -18.043 | 7.8 |
| 21 | -22.459 | 8.1 |
| 22 | -22.422 | 8.9 |
| 23 | -18.261 | 7.6 |
| 24 | -18.133 | 7.9 |
| 25 | -22.533 | 8.2 |
| 26 | -51.391 | 8.8 |
| 27 | -27.792 | 8.6 |
| 28 | -41.343 | 9.7 |
| 29 | -23.911 | 6.4 |
| 30 | -24.029 | 9.4 |